Arrangement a

# ZrP2Cl

ZrP2Cl after structural relaxation (GGA-PBE, Alexandria via LeMat-Bulk).

volume = 16.85 Å³/atom
DOS at the Fermi energy = 4.07 states/eV per cell
space group = I4/mmm, No. 139

a = 3.7772 Å, b = 3.7772 Å, c = 9.4501 Å
α = 90.00°, β = 90.00°, γ = 90.00°
Fractional coordinates of all 8 atoms:
1 Zr 0.0000 0.0000 0.0000
2 Zr 0.5000 0.5000 0.5000
3 P 0.0000 0.5000 0.2500
4 P 0.0000 0.5000 0.7500
5 P 0.5000 0.0000 0.2500
6 P 0.5000 0.0000 0.7500
7 Cl 0.0000 0.0000 0.5000
8 Cl 0.5000 0.5000 0.0000


Arrangement b

# ZrP2Cl

ZrP2Cl after structural relaxation (GGA-PBE, Alexandria via LeMat-Bulk).

volume = 18.77 Å³/atom
DOS at the Fermi energy = 6.79 states/eV per cell
space group = I-42d, No. 122

a = 3.8462 Å, b = 3.8462 Å, c = 20.3022 Å
α = 90.00°, β = 90.00°, γ = 90.00°
Fractional coordinates of all 16 atoms:
1 Zr 0.0000 0.0000 0.0000
2 Zr 0.0000 0.5000 0.2500
3 Zr 0.5000 0.0000 0.7500
4 Zr 0.5000 0.5000 0.5000
5 P 0.1593 0.2500 0.1250
6 P 0.2500 0.6593 0.3750
7 P 0.2500 0.8407 0.8750
8 P 0.3407 0.2500 0.6250
9 P 0.6593 0.7500 0.6250
10 P 0.7500 0.1593 0.8750
11 P 0.7500 0.3407 0.3750
12 P 0.8407 0.7500 0.1250
13 Cl 0.0000 0.0000 0.5000
14 Cl 0.0000 0.5000 0.7500
15 Cl 0.5000 0.0000 0.2500
16 Cl 0.5000 0.5000 0.0000


Arrangement c

# ZrP2Cl

ZrP2Cl after structural relaxation (GGA-PBE, Alexandria via LeMat-Bulk).

volume = 17.04 Å³/atom
DOS at the Fermi energy = 1.23 states/eV per cell
space group = P4/mmm, No. 123

a = 3.6614 Å, b = 3.6614 Å, c = 5.0843 Å
α = 90.00°, β = 90.00°, γ = 90.00°
Fractional coordinates of all 4 atoms:
1 Zr 0.0000 0.0000 0.0000
2 P 0.0000 0.5000 0.5000
3 P 0.5000 0.0000 0.5000
4 Cl 0.5000 0.5000 0.0000


Energies, relative to the best one, in meV/atom: arrangement a 66; arrangement b 0; arrangement c 94.


Arrangement a

# ZrP2Cl

ZrP2Cl after structural relaxation (GGA-PBE, Alexandria via LeMat-Bulk).

volume = 19.28 Å³/atom
DOS at the Fermi energy = 1.69 states/eV per cell
space group = P2/m, No. 10

a = 3.5517 Å, b = 3.5959 Å, c = 6.0381 Å
α = 90.00°, β = 90.11°, γ = 90.00°
Fractional coordinates of all 4 atoms:
1 Zr 0.0000 0.0000 0.0000
2 P 0.4994 0.5000 0.8171
3 P 0.5006 0.5000 0.1829
4 Cl 0.0000 0.0000 0.5000


Arrangement b

# ZrP2Cl

ZrP2Cl after structural relaxation (GGA-PBE, Alexandria via LeMat-Bulk).

volume = 17.49 Å³/atom
DOS at the Fermi energy = 17.81 states/eV per cell
space group = F-43m, No. 216

a = 6.5405 Å, b = 6.5405 Å, c = 6.5405 Å
α = 90.00°, β = 90.00°, γ = 90.00°
Fractional coordinates of all 16 atoms:
1 Zr 0.0000 0.0000 0.0000
2 Zr 0.0000 0.5000 0.5000
3 Zr 0.5000 0.0000 0.5000
4 Zr 0.5000 0.5000 0.0000
5 P 0.0000 0.0000 0.5000
6 P 0.0000 0.5000 0.0000
7 P 0.2500 0.2500 0.7500
8 P 0.2500 0.7500 0.2500
9 P 0.5000 0.0000 0.0000
10 P 0.5000 0.5000 0.5000
11 P 0.7500 0.2500 0.2500
12 P 0.7500 0.7500 0.7500
13 Cl 0.2500 0.2500 0.2500
14 Cl 0.2500 0.7500 0.7500
15 Cl 0.7500 0.2500 0.7500
16 Cl 0.7500 0.7500 0.2500


Arrangement c

# ZrP2Cl

ZrP2Cl after structural relaxation (GGA-PBE, Alexandria via LeMat-Bulk).

volume = 21.43 Å³/atom
DOS at the Fermi energy = 11.65 states/eV per cell
space group = R3m, No. 160

a = 3.2479 Å, b = 3.2479 Å, c = 28.1502 Å
α = 90.00°, β = 90.00°, γ = 120.00°
Fractional coordinates of all 12 atoms:
1 Zr 0.0000 0.0000 0.0000
2 Zr 0.3333 0.6667 0.6667
3 Zr 0.6667 0.3333 0.3333
4 P 0.0000 0.0000 0.4594
5 P 0.0000 0.0000 0.7458
6 P 0.3333 0.6667 0.1261
7 P 0.3333 0.6667 0.4125
8 P 0.6667 0.3333 0.0792
9 P 0.6667 0.3333 0.7928
10 Cl 0.0000 0.0000 0.2693
11 Cl 0.3333 0.6667 0.9360
12 Cl 0.6667 0.3333 0.6026


Arrangement d

# ZrP2Cl

ZrP2Cl after structural relaxation (GGA-PBE, Alexandria via LeMat-Bulk).

volume = 26.62 Å³/atom
DOS at the Fermi energy = 2.52 states/eV per cell
space group = Imm2, No. 44

a = 3.2538 Å, b = 4.9438 Å, c = 13.2408 Å
α = 90.00°, β = 90.00°, γ = 90.00°
Fractional coordinates of all 8 atoms:
1 Zr 0.0000 0.0000 0.0000
2 Zr 0.5000 0.5000 0.5000
3 P 0.0000 0.0000 0.4388
4 P 0.0000 0.5000 0.0567
5 P 0.5000 0.0000 0.5567
6 P 0.5000 0.5000 0.9388
7 Cl 0.0000 0.5000 0.6516
8 Cl 0.5000 0.0000 0.1516


Energies, relative to the best one, in meV/atom: arrangement a 0; arrangement b 571; arrangement c 103; arrangement d 48.